(1)
The following is a PBE calculation of an optimized crystal structure of VPdRu, from Alexandria via LeMat-Bulk.

The structure belongs to space group P3m1 (No. 156); the cell edges are 4.3230, 4.3230 and 2.6419 Å and the angles 90.00°, 90.00° and 120.00°. The inequivalent atoms are V at (0.0000, 0.0000, 0.0000), Pd at (0.6667, 0.3333, 0.7879) and Ru at (0.3333, 0.6667, 0.3069).

The total energy is -7.92 eV per atom. The crystal system is trigonal. The formation energy is -54 meV/atom.

(2)
The following is a PBE calculation of an optimized crystal structure of VPdRu2, from Alexandria via LeMat-Bulk.

The structure belongs to space group Fm-3m (No. 225); the cell edges are 6.109, 6.109 and 6.109 Å and the angles 90.00°, 90.00° and 90.00°. The inequivalent atoms are V at (0.000, 0.000, 0.000), Pd at (0.000, 0.000, 0.500) and Ru at (0.250, 0.250, 0.250).

The total energy is -8.09 eV per atom. The crystal system is cubic. The formation energy is 122 meV/atom.

(3)
The following is a PBE calculation of an optimized crystal structure of V2Pd5Ru, from Alexandria via LeMat-Bulk.

The structure belongs to space group Pbam (No. 55); the cell edges are 7.612, 11.023 and 2.812 Å and the angles 90.00°, 90.00° and 90.00°. The inequivalent atoms are V at (0.235, 0.119, 0.000), Pd at (0.000, 0.500, 0.500), Pd at (0.002, 0.749, 0.500), Pd at (0.247, 0.876, 0.000) and Ru at (0.000, 0.000, 0.500).

The total energy is -6.78 eV per atom. The crystal system is orthorhombic. The formation energy is -91 meV/atom.

(4)
The following is a PBE calculation of an optimized crystal structure of ZrVPd2Ru, from Alexandria via LeMat-Bulk.

The structure belongs to space group P4/mmm (No. 123); the cell edges are 4.465, 4.465 and 4.843 Å and the angles 90.00°, 90.00° and 90.00°. The inequivalent atoms are Zr at (0.000, 0.000, 0.000), V at (0.000, 0.000, 0.500), Pd at (0.000, 0.500, 0.500) and Ru at (0.500, 0.500, 0.000).

The total energy is -6.52 eV per atom. The crystal system is tetragonal. The formation energy is 944 meV/atom.

(5)
The following is a PBE calculation of an optimized crystal structure of PdRuW2, from Alexandria via LeMat-Bulk.

The structure belongs to space group R-3m (No. 166, hexagonal axes); the cell edges are 2.7830, 2.7830 and 27.4737 Å and the angles 90.00°, 90.00° and 120.00°. The inequivalent atoms are Pd at (0.0000, 0.0000, 0.0000), Ru at (0.0000, 0.0000, 0.5000) and W at (0.0000, 0.0000, 0.2479).

The total energy is -9.99 eV per atom. The crystal system is trigonal. The formation energy is 107 meV/atom.

(6)
The following is a PBE calculation of an optimized crystal structure of PdRuW2, from Alexandria via LeMat-Bulk.

The structure belongs to space group I-42d (No. 122); the cell edges are 7.058, 7.058 and 5.408 Å and the angles 90.00°, 90.00° and 90.00°. The inequivalent atoms are Pd at (0.000, 0.000, 0.000), Ru at (0.000, 0.000, 0.500) and W at (0.227, 0.250, 0.625).

The total energy is -9.39 eV per atom. The crystal system is tetragonal. The formation energy is 707 meV/atom.

(7)
The following is a PBE calculation of an optimized crystal structure of PdRu3W, from Alexandria via LeMat-Bulk.

The structure belongs to space group Pm-3m (No. 221); the cell edges are 4.625, 4.625 and 4.625 Å and the angles 90.00°, 90.00° and 90.00°. The inequivalent atoms are Pd at (0.000, 0.000, 0.000), Ru at (0.000, 0.000, 0.500) and W at (0.500, 0.500, 0.500).

The total energy is -6.80 eV per atom. The crystal system is cubic. The formation energy is 2393 meV/atom.

(8)
The following is a PBE calculation of an optimized crystal structure of PdRu2W, from Alexandria via LeMat-Bulk.

The structure belongs to space group Fm-3m (No. 225); the cell edges are 6.201, 6.201 and 6.201 Å and the angles 90.00°, 90.00° and 90.00°. The inequivalent atoms are Pd at (0.000, 0.000, 0.000), Ru at (0.250, 0.250, 0.250) and W at (0.000, 0.000, 0.500).

The total energy is -8.97 eV per atom. The crystal system is cubic. The formation energy is 208 meV/atom.

(9)
The following is a PBE calculation of an optimized crystal structure of PdRu2W, from Alexandria via LeMat-Bulk.

The structure belongs to space group P4/mmm (No. 123); the cell edges are 3.933, 3.933 and 3.777 Å and the angles 90.00°, 90.00° and 90.00°. The inequivalent atoms are Pd at (0.000, 0.000, 0.000), Ru at (0.000, 0.500, 0.500) and W at (0.500, 0.500, 0.000).

The total energy is -9.17 eV per atom. The crystal system is tetragonal. The formation energy is 4 meV/atom.

(10)
The following is a PBE calculation of an optimized crystal structure of PdRu3W, from Alexandria via LeMat-Bulk.

The structure belongs to space group Pm-3m (No. 221); the cell edges are 4.658, 4.658 and 4.658 Å and the angles 90.00°, 90.00° and 90.00°. The inequivalent atoms are Pd at (0.000, 0.000, 0.000), Ru at (0.000, 0.500, 0.500) and W at (0.500, 0.500, 0.500).

The total energy is -7.56 eV per atom. The crystal system is cubic. The formation energy is 1638 meV/atom.

(11)
The following is a PBE calculation of an optimized crystal structure of PdRuW2, from Alexandria via LeMat-Bulk.

The structure belongs to space group Fm-3m (No. 225); the cell edges are 6.291, 6.291 and 6.291 Å and the angles 90.00°, 90.00° and 90.00°. The inequivalent atoms are Pd at (0.000, 0.000, 0.000), Ru at (0.000, 0.000, 0.500) and W at (0.250, 0.250, 0.250).

The total energy is -9.62 eV per atom. The crystal system is cubic. The formation energy is 473 meV/atom.

(12)
The following is a PBE calculation of an optimized crystal structure of Pd3RuW, from Alexandria via LeMat-Bulk.

The structure belongs to space group Pm-3m (No. 221); the cell edges are 4.750, 4.750 and 4.750 Å and the angles 90.00°, 90.00° and 90.00°. The inequivalent atoms are Pd at (0.000, 0.000, 0.500), Ru at (0.500, 0.500, 0.500) and W at (0.000, 0.000, 0.000).

The total energy is -5.93 eV per atom. The crystal system is cubic. The formation energy is 1635 meV/atom.